A PBEsol-optimized structure of P2PbSCl. Source: the Alexandria database, functional SCAN.

```
5
Lattice="5.274 0.000 0.000 0.000 5.274 0.000 0.000 0.000 5.022" Properties=species:S:1:pos:R:3 pbc="T T T"
P 0.000 2.637 0.000
P 2.637 0.000 0.000
Pb 0.000 0.000 0.000
S 0.000 0.000 2.511
Cl 2.637 2.637 2.511
```

M_tot   0.551 μB/atom
V   139.7 Å³/cell
Raw formation energy   1228 meV/atom
Theoretical density   4.00 g cm⁻³
Space-group type   P4/mmm

---

A PBEsol-optimized structure of PSeCl2F. Source: the Alexandria database, functional SCAN.

```
5
Lattice="5.252 0.000 0.000 0.000 5.252 0.000 0.000 0.000 3.522" Properties=species:S:1:pos:R:3 pbc="T T T"
P 0.000 0.000 0.000
Se 2.626 2.626 0.000
Cl 0.000 2.626 1.761
Cl 2.626 0.000 1.761
F 0.000 0.000 1.761
```

M_tot   0.002 μB/atom
V   97.2 Å³/cell
Raw formation energy   433 meV/atom
Theoretical density   3.41 g cm⁻³
Space-group type   P4/mmm

---

A PBEsol-optimized structure of Tm2InOs. Source: the Alexandria database, functional SCAN.

```
16
Lattice="6.931 0.000 0.000 0.000 6.931 0.000 0.000 0.000 6.931" Properties=species:S:1:pos:R:3 pbc="T T T"
Tm 1.733 1.733 1.733
Tm 1.733 1.733 5.198
Tm 1.733 5.198 1.733
Tm 1.733 5.198 5.198
Tm 5.198 1.733 1.733
Tm 5.198 1.733 5.198
Tm 5.198 5.198 1.733
Tm 5.198 5.198 5.198
In 0.000 0.000 0.000
In 0.000 3.466 3.466
In 3.466 0.000 3.466
In 3.466 3.466 0.000
Os 0.000 0.000 3.466
Os 0.000 3.466 0.000
Os 3.466 0.000 0.000
Os 3.466 3.466 3.466
```

M_tot   0.000 μB/atom
V   333.0 Å³/cell
Theoretical density   12.82 g cm⁻³
Energy of formation   -177.7 kJ/mol of formula units
Space-group type   Fm-3m

---

A PBEsol-optimized structure of MgCd2Mo. Source: the Alexandria database, functional SCAN.

```
8
Lattice="2.987 0.000 0.000 0.000 4.932 0.000 0.000 0.000 9.992" Properties=species:S:1:pos:R:3 pbc="T T T"
Mg 0.000 0.000 0.000
Mg 1.494 2.466 4.996
Cd 0.000 2.466 2.466
Cd 0.000 2.466 7.526
Cd 1.494 0.000 2.530
Cd 1.494 0.000 7.462
Mo 0.000 0.000 4.996
Mo 1.494 2.466 0.000
```

M_tot   0.000 μB/atom
V   147.2 Å³/cell
Theoretical density   7.78 g cm⁻³
Energy of formation   154.2 kJ/mol of formula units
Space-group type   Immm

---

Look up the theoretical density of the first one.
4.00 g cm⁻³

---

The lowest V belongs to which entry?
PSeCl2F

---

Which value of V does entry 2 give?
97.2 Å³/cell